Material: CrP2Au
Method: DFT, PBE-GGA
State: optimized geometry

a = 4.319 Å, b = 3.326 Å, c = 4.666 Å
α = 91.33°, β = 90.00°, γ = 90.00°
Fractional positions:
1 Au 0.500 0.250 0.250
2 P 0.000 0.485 0.585
3 Cr 0.500 0.750 0.750
4 P 0.000 0.015 0.915

Summary:
As for the density of states at the Fermi level: 2.30 states/eV per cell. As for the total moment: 3.31 μB/cell. As for the total energy: -5.735 eV per atom. For the volume, the calculation gives 67.00 Å³/f.u.

Material: CeNdSmSn
Method: DFT, PBE-GGA
State: optimized geometry

a = 5.486 Å, b = 5.486 Å, c = 5.486 Å
α = 60.00°, β = 60.00°, γ = 60.00°
Fractional positions:
1 Nd 0.500 0.500 0.500
2 Ce 0.750 0.750 0.750
3 Sm 0.000 0.000 0.000
4 Sn 0.250 0.250 0.250

Summary:
As for the density of states at the Fermi level: 7.82 states/eV per cell. As for the total moment: 0.51 μB/cell. As for the total energy: -5.070 eV per atom. For the volume, the calculation gives 116.72 Å³/f.u.

Material: HoErTcNi
Method: DFT, PBE-GGA
State: optimized geometry

a = 4.773 Å, b = 4.773 Å, c = 4.773 Å
α = 60.00°, β = 60.00°, γ = 60.00°
Fractional positions:
1 Tc 0.750 0.750 0.750
2 Ni 0.250 0.250 0.250
3 Er 0.500 0.500 0.500
4 Ho 0.000 0.000 0.000

Summary:
As for the density of states at the Fermi level: 3.65 states/eV per cell. As for the total moment: 0.00 μB/cell. As for the total energy: -6.477 eV per atom. For the volume, the calculation gives 76.87 Å³/f.u.

The lowest volume belongs to which entry? CrP2Au